No. 1
NdAs3Pd10 | PBE | optimized geometry

Properties
N(E_F) (states/eV/cell): 40.62
Formation enthalpy at 0 K (eV/f.u.): -6.9
VASP energy (eV/atom): -5.541

Lattice parameters (Å, degrees): 12.5568 12.5568 12.5568 90.00 90.00 90.00
Space group Fm-3m (No. 225)
Asymmetric unit:
Nd: 0.2500 0.2500 0.2500 [8 per cell]
As: 0.0000 0.0000 0.2402 [24 per cell]
Pd: 0.0000 0.1751 0.3249 [48 per cell]
Pd: 0.1153 0.1153 0.1153 [32 per cell]

No. 2
YHo2Tm | PBE | optimized geometry

Properties
N(E_F) (states/eV/cell): 30.34
Formation enthalpy at 0 K (eV/f.u.): 0.9
Polymorph energy (0 for the lowest one) (meV per atom): 205
VASP energy (eV/atom): -4.805

Lattice parameters (Å, degrees): 6.9136 6.8986 10.9074 90.00 90.02 90.00
Space group P2/c (No. 13)
Asymmetric unit:
Y: 0.1260 0.1249 0.3869 [4 per cell]
Ho: 0.1255 0.3760 0.8878 [4 per cell]
Ho: 0.3762 0.1261 0.1117 [4 per cell]
Tm: 0.3753 0.3750 0.6125 [4 per cell]

No. 3
ZnCu2As2 | PBE | optimized geometry

Properties
N(E_F) (states/eV/cell): 4.88
Formation enthalpy at 0 K (eV/f.u.): 0.9
VASP energy (eV/atom): -3.564

Lattice parameters (Å, degrees): 6.7108 6.7108 3.5185 90.00 90.00 90.00
Space group P4/mbm (No. 127)
Asymmetric unit:
Zn: 0.0000 0.0000 0.0000 [2 per cell]
Cu: 0.1313 0.3687 0.0000 [4 per cell]
As: 0.1722 0.6722 0.5000 [4 per cell]

No. 4
Zr4AlAg2 | PBE | optimized geometry

Properties
N(E_F) (states/eV/cell): 17.33
Formation enthalpy at 0 K (eV/f.u.): 3.8
VASP energy (eV/atom): -5.687

Lattice parameters (Å, degrees): 4.9999 4.9999 13.7789 90.00 90.00 90.00
Space group I4/mmm (No. 139)
Asymmetric unit:
Zr: 0.0000 0.0000 0.1898 [4 per cell]
Zr: 0.0000 0.5000 0.0000 [4 per cell]
Al: 0.0000 0.0000 0.0000 [2 per cell]
Ag: 0.0000 0.0000 0.3865 [4 per cell]

No. 5
LiPu3Te4 | PBE | optimized geometry

Properties
Formation energy without anion corrections (meV/atom): -1023
N(E_F) (states/eV/cell): 86.57
Polymorph energy (0 for the lowest one) (meV per atom): 0
VASP energy (eV/atom): -8.208

Lattice parameters (Å, degrees): 8.8104 12.5824 4.4300 90.00 90.00 90.00
Space group Cmmm (No. 65)
Asymmetric unit:
Li: 0.0000 0.0000 0.0000 [2 per cell]
Pu: 0.0000 0.5000 0.0000 [2 per cell]
Pu: 0.2500 0.2500 0.5000 [4 per cell]
Te: 0.0000 0.2459 0.0000 [4 per cell]
Te: 0.2431 0.0000 0.5000 [4 per cell]

No. 6
SrTeS2 | PBE | optimized geometry

Properties
Formation energy without anion corrections (meV/atom): -766
N(E_F) (states/eV/cell): 6.77
VASP energy (eV/atom): -4.035

Lattice parameters (Å, degrees): 4.2346 4.2346 25.2258 90.00 90.00 120.00
Space group R-3m (No. 166, hexagonal axes)
Asymmetric unit:
Sr: 0.0000 0.0000 0.0000 [3 per cell]
Te: 0.0000 0.0000 0.5000 [3 per cell]
S: 0.0000 0.0000 0.3999 [6 per cell]

No. 7
NaTmAl4 | PBE | optimized geometry

Properties
N(E_F) (states/eV/cell): 17.09
Formation enthalpy at 0 K (eV/f.u.): -1.2
VASP energy (eV/atom): -3.657

Lattice parameters (Å, degrees): 7.8479 7.8479 7.8479 90.00 90.00 90.00
Space group F-43m (No. 216)
Asymmetric unit:
Na: 0.0000 0.0000 0.0000 [4 per cell]
Tm: 0.2500 0.2500 0.7500 [4 per cell]
Al: 0.1244 0.1244 0.3756 [16 per cell]

No. 8
Mg2HBr2 | PBE | optimized geometry

Properties
N(E_F) (states/eV/cell): 0.00
Polymorph energy (0 for the lowest one) (meV per atom): 193
VASP energy (eV/atom): -2.214

Lattice parameters (Å, degrees): 5.0322 5.0322 11.0625 90.00 90.00 90.00
Space group I4/mmm (No. 139)
Asymmetric unit:
Mg: 0.0000 0.0000 0.1286 [4 per cell]
H: 0.0000 0.0000 0.5000 [2 per cell]
Br: 0.0000 0.5000 0.2500 [4 per cell]

No. 9
K2NaBS | PBE | optimized geometry

Properties
Formation energy without anion corrections (meV/atom): 781
N(E_F) (states/eV/cell): 3.25
VASP energy (eV/atom): -2.083

Lattice parameters (Å, degrees): 5.7984 5.7984 4.7257 90.00 90.00 90.00
Space group P4/mmm (No. 123)
Asymmetric unit:
K: 0.0000 0.5000 0.0000 [2 per cell]
Na: 0.0000 0.0000 0.0000 [1 per cell]
B: 0.0000 0.0000 0.5000 [1 per cell]
S: 0.5000 0.5000 0.5000 [1 per cell]

No. 10
TlCuAg2F6 | PBE | optimized geometry

Properties
Formation energy without anion corrections (meV/atom): -1403
N(E_F) (states/eV/cell): 0.28
VASP energy (eV/atom): -3.742

Lattice parameters (Å, degrees): 5.8170 6.0814 8.8105 88.14 89.53 86.46
Space group P-1 (No. 2)
Asymmetric unit:
Tl: 0.0000 0.0000 0.0000 [1 per cell]
Tl: 0.5000 0.5000 0.5000 [1 per cell]
Cu: 0.0000 0.0000 0.5000 [1 per cell]
Cu: 0.5000 0.5000 0.0000 [1 per cell]
Ag: 0.0204 0.5596 0.7304 [2 per cell]
Ag: 0.4754 0.0971 0.7297 [2 per cell]
F: 0.1099 0.2836 0.5402 [2 per cell]
F: 0.1416 0.0544 0.2246 [2 per cell]
F: 0.1914 0.2775 0.9109 [2 per cell]
F: 0.2832 0.8655 0.5770 [2 per cell]
F: 0.3067 0.7644 0.9252 [2 per cell]
F: 0.3737 0.5465 0.1972 [2 per cell]

No. 11
CaSmSiN3 | PBE | optimized geometry

Properties
Formation energy without anion corrections (meV/atom): -961
N(E_F) (states/eV/cell): 6.14
VASP energy (eV/atom): -7.148

Lattice parameters (Å, degrees): 12.5653 3.7752 7.0256 90.00 106.29 90.00
Space group C2/m (No. 12)
Asymmetric unit:
Ca: 0.1506 0.0000 0.0720 [4 per cell]
Sm: 0.1505 0.0000 0.5800 [4 per cell]
Si: 0.0015 0.5000 0.2490 [4 per cell]
N: 0.0032 0.0000 0.2583 [4 per cell]
N: 0.1473 0.5000 0.8213 [4 per cell]
N: 0.1515 0.5000 0.3276 [4 per cell]

No. 12
TiF3 | PBE | optimized geometry

Properties
Formation energy without anion corrections (meV/atom): -3353
N(E_F) (states/eV/cell): 7.57
VASP energy (eV/atom): -6.731

Lattice parameters (Å, degrees): 5.5795 5.5795 6.8486 90.00 90.00 120.00
Space group R-3m (No. 166, hexagonal axes)
Asymmetric unit:
Ti: 0.0000 0.0000 0.0000 [3 per cell]
F: 0.0000 0.5000 0.5000 [9 per cell]

Listing ρ for the structures above in their given order: 9.62; 7.50; 7.18; 5.86; 8.45; 3.55; 4.12; 2.48; 1.51; 6.38; 5.41; 2.83 g cm⁻³.
Listing calculated volume for the structures above in their given order: 17.68; 32.51; 15.85; 24.60; 30.69; 32.64; 20.14; 28.01; 31.78; 15.55; 13.33; 15.39 A^3/atom.
Listing magnetization for the structures above in their given order: 0.00; 0.00; 0.00; 0.00; 11.68; 0.00; 0.00; 2.00; 0.86; 2.01; 0.00; 3.00 μB per cell.